# 1
Here is SiTeOs2 after structural relaxation from Alexandria via LeMat-Bulk. Energies are from PBE-GGA.

## Properties
Formation energy (no corrections): 921 meV/atom
E: -27.34 eV/cell

a b c (Å): 3.051 4.222 5.170
angles (deg): 90.00 90.00 90.00
Space group Pmmm (No. 47)
One atom of each set of equivalent atoms:
Si 0.000 0.000 0.000
Te 0.500 0.000 0.500
Os 0.000 0.500 0.500
Os 0.500 0.500 0.000

=====

# 2
Here is SiTeOs2 after structural relaxation from Alexandria via LeMat-Bulk. Energies are from PBE-GGA.

## Properties
Formation energy (no corrections): 1068 meV/atom
E: -107.00 eV/cell

a b c (Å): 6.425 6.425 6.425
angles (deg): 90.00 90.00 90.00
Space group F-43m (No. 216)
One atom of each set of equivalent atoms:
Si 0.000 0.000 0.000
Te 0.250 0.250 0.250
Os 0.000 0.000 0.500
Os 0.250 0.250 0.750

=====

# 3
Here is SiTeOs2 after structural relaxation from Alexandria via LeMat-Bulk. Energies are from PBE-GGA.

## Properties
Formation energy (no corrections): 909 meV/atom
E: -54.78 eV/cell

a b c (Å): 5.941 8.514 3.049
angles (deg): 90.00 120.19 90.00
Space group C2/m (No. 12)
One atom of each set of equivalent atoms:
Si 0.000 0.000 0.000
Te 0.000 0.500 0.000
Os 0.250 0.250 0.000

=====

# 4
Here is SiTe2Os after structural relaxation from Alexandria via LeMat-Bulk. Energies are from PBE-GGA.

## Properties
Formation energy (no corrections): 947 meV/atom
E: -38.30 eV/cell

a b c (Å): 4.462 4.462 7.993
angles (deg): 90.00 90.00 90.00
Space group I-4m2 (No. 119)
One atom of each set of equivalent atoms:
Si 0.000 0.000 0.000
Te 0.000 0.000 0.500
Te 0.000 0.500 0.750
Os 0.000 0.500 0.250

=====

# 5
Here is SiTeOs2 after structural relaxation from Alexandria via LeMat-Bulk. Energies are from PBE-GGA.

## Properties
Formation energy (no corrections): 292 meV/atom
E: -59.71 eV/cell

a b c (Å): 8.322 3.093 5.520
angles (deg): 90.00 101.28 90.00
Space group Cm (No. 8)
One atom of each set of equivalent atoms:
Si 0.000 0.000 0.000
Te 0.213 0.000 0.565
Os 0.214 0.500 0.972
Os 0.466 0.000 0.324

=====

# 6
Here is SiTeOs2 after structural relaxation from Alexandria via LeMat-Bulk. Energies are from PBE-GGA.

## Properties
Formation energy (no corrections): 665 meV/atom
E: -113.46 eV/cell

a b c (Å): 5.522 5.522 11.552
angles (deg): 90.00 90.00 90.00
Space group I-42d (No. 122)
One atom of each set of equivalent atoms:
Si 0.000 0.000 0.000
Te 0.000 0.000 0.500
Os 0.213 0.250 0.125

=====

# 7
Here is Si2TeOs after structural relaxation from Alexandria via LeMat-Bulk. Energies are from PBE-GGA.

## Properties
Formation energy (no corrections): 829 meV/atom
E: -21.90 eV/cell

a b c (Å): 3.079 4.585 4.844
angles (deg): 90.00 90.00 90.00
Space group Pmmm (No. 47)
One atom of each set of equivalent atoms:
Si 0.000 0.000 0.000
Si 0.500 0.000 0.500
Te 0.000 0.500 0.500
Os 0.500 0.500 0.000

=====

# 8
Here is Th4SiTe2Os after structural relaxation from Alexandria via LeMat-Bulk. Energies are from PBE-GGA.

## Properties
Formation energy (no corrections): -869 meV/atom
E: -59.57 eV/cell

a b c (Å): 7.580 4.211 7.849
angles (deg): 90.00 107.76 90.00
Space group P2/m (No. 10)
One atom of each set of equivalent atoms:
Th 0.220 0.000 0.201
Th 0.254 0.500 0.789
Si 0.500 0.000 0.000
Te 0.000 0.000 0.500
Te 0.500 0.500 0.500
Os 0.000 0.500 0.000

=====

# 9
Here is Th6SiTe3Os2 after structural relaxation from Alexandria via LeMat-Bulk. Energies are from PBE-GGA.

## Properties
Formation energy (no corrections): -860 meV/atom
E: -184.28 eV/cell

a b c (Å): 7.378 12.750 7.972
angles (deg): 90.00 107.87 90.00
Space group C2/m (No. 12)
One atom of each set of equivalent atoms:
Th 0.220 0.000 0.204
Th 0.243 0.326 0.206
Si 0.000 0.500 0.000
Te 0.000 0.000 0.500
Te 0.000 0.339 0.500
Os 0.000 0.168 0.000

=====

# 10
Here is Th6Si2Te3Os after structural relaxation from Alexandria via LeMat-Bulk. Energies are from PBE-GGA.

## Properties
Formation energy (no corrections): -908 meV/atom
E: -173.84 eV/cell

a b c (Å): 19.263 4.240 9.051
angles (deg): 90.00 105.30 90.00
Space group C2/m (No. 12)
One atom of each set of equivalent atoms:
Th 0.005 0.000 0.216
Th 0.153 0.500 0.099
Th 0.175 0.500 0.562
Si 0.166 0.000 0.333
Te 0.000 0.500 0.500
Te 0.172 0.000 0.833
Os 0.000 0.500 0.000

=====

# 11
Here is VSiTeOs2 after structural relaxation from Alexandria via LeMat-Bulk. Energies are from PBE-GGA.

## Properties
Formation energy (no corrections): 1623 meV/atom
E: -32.03 eV/cell

a b c (Å): 4.570 4.570 4.911
angles (deg): 90.00 90.00 90.00
Space group P4/mmm (No. 123)
One atom of each set of equivalent atoms:
V 0.000 0.000 0.000
Si 0.500 0.500 0.500
Te 0.000 0.000 0.500
Os 0.000 0.500 0.000

=====

# 12
Here is ZnSi2TeOs after structural relaxation from Alexandria via LeMat-Bulk. Energies are from PBE-GGA.

## Properties
Formation energy (no corrections): 1550 meV/atom
E: -18.74 eV/cell

a b c (Å): 4.412 4.412 5.262
angles (deg): 90.00 90.00 90.00
Space group P4/mmm (No. 123)
One atom of each set of equivalent atoms:
Zn 0.000 0.000 0.000
Si 0.000 0.500 0.000
Te 0.000 0.000 0.500
Os 0.500 0.500 0.500